No. 1
Computed, not measured: crystalline AgAuCl6 at its relaxed geometry at the PBE-GGA level of DFT.

Unit cell a=7.369 b=10.370 c=7.565 alpha=90.00 beta=96.66 gamma=90.00
Space group C2/m (No. 12)
Symmetry-distinct sites (fractional):
Ag 0.000 0.000 0.000 x2
Au 0.000 0.000 0.500 x2
Cl 0.023 0.157 0.286 x8
Cl 0.106 0.500 0.925 x4

Properties
Raw formation energy   -0.255 eV/atom
Relative energy among the computed polymorphs   0.0000 eV per atom



No. 2
Computed, not measured: crystalline Ag2Au2Cl at its relaxed geometry at the PBE-GGA level of DFT.

Unit cell a=7.647 b=7.647 c=3.437 alpha=90.00 beta=90.00 gamma=90.00
Space group P4/mbm (No. 127)
Symmetry-distinct sites (fractional):
Ag 0.163 0.337 0.000 x4
Au 0.131 0.631 0.500 x4
Cl 0.000 0.000 0.500 x2

Properties
DOS(E_F)   0.3042 states/eV per atom
Raw formation energy   0.100 eV/atom
Relative energy among the computed polymorphs   0.1066 eV per atom



No. 3
Computed, not measured: crystalline AgAuCl2 at its relaxed geometry at the PBE-GGA level of DFT.

Unit cell a=7.521 b=7.480 c=3.809 alpha=90.00 beta=118.91 gamma=90.00
Space group C2/m (No. 12)
Symmetry-distinct sites (fractional):
Ag 0.000 0.000 0.000 x2
Au 0.000 0.500 0.000 x2
Cl 0.250 0.250 0.000 x4

Properties
DOS(E_F)   0.1500 states/eV per atom
Raw formation energy   -0.093 eV/atom
Relative energy among the computed polymorphs   0.2126 eV per atom



No. 4
Computed, not measured: crystalline AgAuCl2 at its relaxed geometry at the PBE-GGA level of DFT.

Unit cell a=4.0136 b=4.0136 c=18.9110 alpha=90.00 beta=90.00 gamma=120.00
Space group R-3m (No. 166, hexagonal axes)
Symmetry-distinct sites (fractional):
Ag 0.0000 0.0000 0.0000 x3
Au 0.0000 0.0000 0.5000 x3
Cl 0.0000 0.0000 0.2498 x6

Properties
DOS(E_F)   0.3447 states/eV per atom
Raw formation energy   -0.096 eV/atom
Relative energy among the computed polymorphs   0.2098 eV per atom



No. 5
Computed, not measured: crystalline AgAuCl2 at its relaxed geometry at the PBE-GGA level of DFT.

Unit cell a=5.987 b=5.987 c=12.284 alpha=90.00 beta=90.00 gamma=90.00
Space group I-42d (No. 122)
Symmetry-distinct sites (fractional):
Ag 0.000 0.000 0.000 x4
Au 0.000 0.000 0.500 x4
Cl 0.247 0.250 0.625 x8

Properties
DOS(E_F)   0.0000 states/eV per atom
Raw formation energy   -0.147 eV/atom
Relative energy among the computed polymorphs   0.1588 eV per atom



No. 6
Computed, not measured: crystalline AgAuCl2 at its relaxed geometry at the PBE-GGA level of DFT.

Unit cell a=3.603 b=3.865 c=13.603 alpha=90.00 beta=90.00 gamma=90.00
Space group Imm2 (No. 44)
Symmetry-distinct sites (fractional):
Ag 0.000 0.000 0.000 x2
Au 0.000 0.500 0.671 x2
Cl 0.000 0.000 0.451 x2
Cl 0.000 0.500 0.199 x2

Properties
DOS(E_F)   0.1821 states/eV per atom
Raw formation energy   -0.116 eV/atom
Relative energy among the computed polymorphs   0.1891 eV per atom